(1)
DFT (PBE) results for Ce5PuHg4 after structural relaxation.

Values from the calculation:
Formation energy, kJ per mole of atoms: -13
Crystal system: tetragonal

Unit cell a=7.262 b=7.262 c=7.262 alpha=106.86 beta=106.86 gamma=114.84
Sites, in units of the cell vectors:
Ce 0.000 0.000 0.000
Ce 0.427 0.771 0.786
Ce 0.641 0.427 0.656
Ce 0.771 0.985 0.344
Ce 0.985 0.641 0.214
Pu 0.695 0.695 0.000
Hg 0.077 0.390 0.839
Hg 0.238 0.077 0.687
Hg 0.390 0.551 0.313
Hg 0.551 0.238 0.161



(2)
DFT (PBE) results for KCaSc4 after structural relaxation.

Values from the calculation:
Formation energy, kJ per mole of atoms: 45
Crystal system: cubic

Unit cell a=6.509 b=6.509 c=6.509 alpha=60.00 beta=60.00 gamma=60.00
Sites, in units of the cell vectors:
K 0.000 0.000 0.000
Ca 0.250 0.250 0.250
Sc 0.135 0.622 0.622
Sc 0.622 0.135 0.622
Sc 0.622 0.622 0.135
Sc 0.622 0.622 0.622



(3)
DFT (PBE) results for Cs2Tl4Hg3Bi after structural relaxation.

Values from the calculation:
Formation energy, kJ per mole of atoms: -15
Crystal system: tetragonal

Unit cell a=5.400 b=5.400 c=12.984 alpha=90.00 beta=90.00 gamma=90.00
Sites, in units of the cell vectors:
Cs 0.000 0.500 0.246
Cs 0.500 0.000 0.754
Tl 0.000 0.000 0.500
Tl 0.000 0.500 0.867
Tl 0.500 0.000 0.133
Tl 0.500 0.500 0.500
Hg 0.000 0.000 0.000
Hg 0.000 0.500 0.623
Hg 0.500 0.000 0.377
Bi 0.500 0.500 0.000



(4)
DFT (PBE) results for VPdSe2 after structural relaxation.

Values from the calculation:
E_form (uncorrected), eV per atom: -0.130
Crystal system: cubic

Unit cell a=6.439 b=6.439 c=6.439 alpha=90.00 beta=90.00 gamma=90.00
Sites, in units of the cell vectors:
V 0.000 0.000 0.000
V 0.000 0.500 0.500
V 0.500 0.000 0.500
V 0.500 0.500 0.000
Pd 0.000 0.000 0.500
Pd 0.000 0.500 0.000
Pd 0.500 0.000 0.000
Pd 0.500 0.500 0.500
Se 0.250 0.250 0.250
Se 0.250 0.250 0.750
Se 0.250 0.750 0.250
Se 0.250 0.750 0.750
Se 0.750 0.250 0.250
Se 0.750 0.250 0.750
Se 0.750 0.750 0.250
Se 0.750 0.750 0.750



(5)
DFT (PBE) results for Cs3KAu3 after structural relaxation.

Values from the calculation:
Formation energy, kJ per mole of atoms: -25
Crystal system: trigonal
Relative energy among the computed polymorphs, meV per atom: 3

Unit cell a=7.365 b=7.365 c=7.365 alpha=108.97 beta=108.97 gamma=108.97
Sites, in units of the cell vectors:
Cs 0.000 0.500 0.500
Cs 0.500 0.000 0.500
Cs 0.500 0.500 0.000
K 0.001 0.001 0.001
Au 0.000 0.000 0.500
Au 0.000 0.500 0.000
Au 0.500 0.000 0.000



(6)
DFT (PBE) results for Cs2USeBr5 after structural relaxation.

Values from the calculation:
E_form (uncorrected), eV per atom: -1.494
Crystal system: tetragonal

Unit cell a=8.061 b=8.061 c=8.061 alpha=120.80 beta=120.80 gamma=88.62
Sites, in units of the cell vectors:
Cs 0.000 0.500 0.500
Cs 0.500 0.000 0.500
U 0.242 0.242 0.000
Se 0.020 0.020 0.000
Br 0.005 0.005 0.510
Br 0.005 0.495 0.000
Br 0.483 0.483 0.000
Br 0.495 0.005 0.000
Br 0.495 0.495 0.490



(7)
DFT (PBE) results for BBr after structural relaxation.

Values from the calculation:
E_form (uncorrected), eV per atom: 0.018
Crystal system: triclinic
Relative energy among the computed polymorphs, meV per atom: 344

Unit cell a=3.395 b=7.264 c=8.225 alpha=86.70 beta=85.68 gamma=88.90
Sites, in units of the cell vectors:
B 0.000 0.000 0.000
B 0.166 0.934 0.206
B 0.541 0.910 0.062
B 0.712 0.837 0.263
Br 0.106 0.190 0.287
Br 0.139 0.138 0.800
Br 0.571 0.693 0.460
Br 0.643 0.652 0.986



(8)
DFT (PBE) results for RbLaHgO3 after structural relaxation.

Values from the calculation:
E_form (uncorrected), eV per atom: -1.760
Crystal system: monoclinic

Unit cell a=8.056 b=3.740 c=9.154 alpha=90.00 beta=94.27 gamma=90.00
Sites, in units of the cell vectors:
Rb 0.146 0.250 0.202
Rb 0.854 0.750 0.798
La 0.377 0.750 0.860
La 0.623 0.250 0.140
Hg 0.151 0.250 0.585
Hg 0.849 0.750 0.415
O 0.165 0.750 0.453
O 0.188 0.250 0.834
O 0.427 0.750 0.107
O 0.573 0.250 0.893
O 0.812 0.750 0.166
O 0.835 0.250 0.547